Below is a geometry-optimized TaAsBr2Cl structure, with properties calculated at the PBE level.

Summary:
SG ... P4/mmm
Formation energy (no corrections) ... -60 meV per atom
Energy above the most stable polymorph in this dataset ... 0 meV per atom

abc: 5.0440 5.0440 5.1570
angles: 90.00 90.00 90.00
Positions (direct):
As 0.0000 0.0000 0.5000
Cl 0.5000 0.5000 0.5000
Br 0.0000 0.5000 0.0000
Br 0.5000 0.0000 0.0000
Ta 0.0000 0.0000 0.0000

Below is a geometry-optimized TaAsBr2Cl structure, with properties calculated at the PBE level.

Summary:
SG ... P4/mmm
Formation energy (no corrections) ... 1430 meV per atom
Energy above the most stable polymorph in this dataset ... 1490 meV per atom

abc: 4.9634 4.9634 5.2822
angles: 90.00 90.00 90.00
Positions (direct):
As 0.0000 0.0000 0.5000
Cl 0.0000 0.0000 0.0000
Br 0.0000 0.5000 0.0000
Br 0.5000 0.0000 0.0000
Ta 0.5000 0.5000 0.5000

Below is a geometry-optimized TeAs2BrCl structure, with properties calculated at the PBE level.

Summary:
SG ... P4/mmm
Formation energy (no corrections) ... 697 meV per atom
Energy above the most stable polymorph in this dataset ... 0 meV per atom

abc: 5.5252 5.5252 5.4873
angles: 90.00 90.00 90.00
Positions (direct):
As 0.0000 0.5000 0.0000
As 0.5000 0.0000 0.0000
Te 0.0000 0.0000 0.0000
Br 0.0000 0.0000 0.5000
Cl 0.5000 0.5000 0.5000

Below is a geometry-optimized TeAs2BrCl structure, with properties calculated at the PBE level.

Summary:
SG ... P4/mmm
Formation energy (no corrections) ... 875 meV per atom
Energy above the most stable polymorph in this dataset ... 178 meV per atom

abc: 5.1414 5.1414 4.9811
angles: 90.00 90.00 90.00
Positions (direct):
As 0.0000 0.5000 0.0000
As 0.5000 0.0000 0.0000
Te 0.5000 0.5000 0.5000
Br 0.0000 0.0000 0.5000
Cl 0.0000 0.0000 0.0000

Below is a geometry-optimized TiAsBr2Cl structure, with properties calculated at the PBE level.

Summary:
SG ... P4/mmm
Formation energy (no corrections) ... -340 meV per atom
Energy above the most stable polymorph in this dataset ... 0 meV per atom

abc: 4.9239 4.9239 5.2344
angles: 90.00 90.00 90.00
Positions (direct):
As 0.0000 0.0000 0.5000
Cl 0.5000 0.5000 0.5000
Br 0.0000 0.5000 0.0000
Br 0.5000 0.0000 0.0000
Ti 0.0000 0.0000 0.0000

Below is a geometry-optimized TiAsBr2Cl structure, with properties calculated at the PBE level.

Summary:
SG ... P4/mmm
Formation energy (no corrections) ... 918 meV per atom
Energy above the most stable polymorph in this dataset ... 1258 meV per atom

abc: 4.9989 4.9989 5.3686
angles: 90.00 90.00 90.00
Positions (direct):
As 0.0000 0.0000 0.5000
Cl 0.0000 0.0000 0.0000
Br 0.0000 0.5000 0.0000
Br 0.5000 0.0000 0.0000
Ti 0.5000 0.5000 0.5000

Below is a geometry-optimized TiAs2BrCl structure, with properties calculated at the PBE level.

Summary:
SG ... P4/mmm
Formation energy (no corrections) ... -74 meV per atom
Energy above the most stable polymorph in this dataset ... 0 meV per atom

abc: 4.9806 4.9806 4.9356
angles: 90.00 90.00 90.00
Positions (direct):
As 0.0000 0.5000 0.0000
As 0.5000 0.0000 0.0000
Cl 0.5000 0.5000 0.5000
Br 0.0000 0.0000 0.5000
Ti 0.0000 0.0000 0.0000

Below is a geometry-optimized TiAs2BrCl structure, with properties calculated at the PBE level.

Summary:
SG ... P4/mmm
Formation energy (no corrections) ... 903 meV per atom
Energy above the most stable polymorph in this dataset ... 977 meV per atom

abc: 4.6762 4.6762 5.8609
angles: 90.00 90.00 90.00
Positions (direct):
As 0.0000 0.5000 0.0000
As 0.5000 0.0000 0.0000
Cl 0.0000 0.0000 0.0000
Br 0.0000 0.0000 0.5000
Ti 0.5000 0.5000 0.5000

Below is a geometry-optimized TlAsBr2Cl structure, with properties calculated at the PBE level.

Summary:
SG ... P4/mmm
Formation energy (no corrections) ... 361 meV per atom
Energy above the most stable polymorph in this dataset ... 853 meV per atom

abc: 5.4521 5.4521 5.8752
angles: 90.00 90.00 90.00
Positions (direct):
Tl 0.0000 0.0000 0.0000
As 0.0000 0.0000 0.5000
Br 0.0000 0.5000 0.0000
Br 0.5000 0.0000 0.0000
Cl 0.5000 0.5000 0.5000

Below is a geometry-optimized TlAsBr2Cl structure, with properties calculated at the PBE level.

Summary:
SG ... P4/mmm
Formation energy (no corrections) ... -492 meV per atom
Energy above the most stable polymorph in this dataset ... 0 meV per atom

abc: 5.4563 5.4563 5.1863
angles: 90.00 90.00 90.00
Positions (direct):
Tl 0.5000 0.5000 0.5000
As 0.0000 0.0000 0.0000
Br 0.0000 0.5000 0.0000
Br 0.5000 0.0000 0.0000
Cl 0.0000 0.0000 0.5000